[1]
A plane-wave DFT calculation with PBE-GGA was carried out for a relaxed structure of MoPtRh2.

Computed properties:
- ΔH_f (0 K) (meV per atom) = -229
- calculated total energy (eV per cell) = -32.49
- polymorph energy (0 for the lowest one) (eV/f.u.) = 0.11
- symmetry = I4/mmm, No. 139

```
4
Lattice="4.752 0.009 0.000 1.512 4.505 0.000 -3.132 -2.257 2.771" Properties=species:S:1:pos:R:3 pbc="T T T"
Rh 3.132 2.257 0.000
Rh 0.000 0.000 0.000
Mo 0.756 2.252 1.385
Pt 2.376 0.004 1.385
```

[2]
A plane-wave DFT calculation with PBE-GGA was carried out for a relaxed structure of TaAl5.

Computed properties:
- ΔH_f (0 K) (meV per atom) = -96
- calculated total energy (eV per cell) = -31.14
- polymorph energy (0 for the lowest one) (eV/f.u.) = 0.43
- symmetry = Cmmm, No. 65

```
6
Lattice="3.803 4.562 -3.015 -6.125 -2.578 0.458 -0.864 2.543 2.758" Properties=species:S:1:pos:R:3 pbc="T T T"
Al -4.520 -1.424 -0.103
Al -0.432 1.272 1.379
Al -3.269 1.058 0.687
Al 2.198 3.408 -2.453
Al 0.084 3.470 -0.486
Ta -1.161 0.992 -1.278
```

[3]
A plane-wave DFT calculation with PBE-GGA was carried out for a relaxed structure of Sc3AgO.

Computed properties:
- formation energy without anion corrections (meV per atom) = -243
- calculated total energy (eV per cell) = -56.04
- polymorph energy (0 for the lowest one) (eV/f.u.) = 5.62
- symmetry = P6_3/mmc, No. 194

```
10
Lattice="-1.951 2.822 2.252 -2.148 -2.632 -2.302 -0.591 -9.713 11.659" Properties=species:S:1:pos:R:3 pbc="T T T"
Sc -0.148 -2.428 2.915
Sc -2.417 -6.313 5.816
Sc -2.273 -3.211 5.793
Sc -2.634 -9.886 10.105
Sc -2.056 0.362 1.505
Sc -0.443 -7.285 8.744
O 0.000 0.000 0.000
O -0.295 -4.857 5.830
Ag -2.165 -1.425 3.649
Ag -2.525 -8.099 7.960
```

[4]
A plane-wave DFT calculation with PBE-GGA was carried out for a relaxed structure of BMo2Au.

Computed properties:
- ΔH_f (0 K) (meV per atom) = 991
- calculated total energy (eV per cell) = -55.30
- symmetry = I-42d, No. 122

```
8
Lattice="-2.497 -2.360 3.162 2.303 -3.910 -1.099 4.455 -1.754 5.657" Properties=species:S:1:pos:R:3 pbc="T T T"
Mo 2.911 -6.360 6.171
Mo 0.123 -2.136 2.896
Mo 1.959 -3.444 1.479
Mo 3.529 -4.108 4.892
Au 0.930 -3.624 4.925
Au 0.000 0.000 0.000
B -0.097 -3.135 1.031
B 3.330 -4.400 2.794
```

[5]
A plane-wave DFT calculation with PBE-GGA was carried out for a relaxed structure of Hf2AgI.

Computed properties:
- formation energy without anion corrections (meV per atom) = 283
- calculated total energy (eV per cell) = -23.18
- polymorph energy (0 for the lowest one) (eV/f.u.) = 0.00
- symmetry = Fm-3m, No. 225

```
4
Lattice="-4.437 0.940 1.982 -2.564 3.979 -1.446 -4.095 -0.550 -2.725" Properties=species:S:1:pos:R:3 pbc="T T T"
Ag 0.000 0.000 0.000
I -5.548 2.184 -1.094
Hf -8.321 3.277 -1.641
Hf -2.774 1.092 -0.547
```

[6]
A plane-wave DFT calculation with PBE-GGA was carried out for a relaxed structure of AlMoRu2Cl.

Computed properties:
- formation energy without anion corrections (meV per atom) = 1603
- calculated total energy (eV per cell) = -26.96
- polymorph energy (0 for the lowest one) (eV/f.u.) = 1.45
- symmetry = P4/mmm, No. 123

```
5
Lattice="4.519 0.000 0.000 0.000 4.436 0.000 0.000 0.000 4.519" Properties=species:S:1:pos:R:3 pbc="T T T"
Mo 2.260 2.218 2.260
Al 0.000 0.000 0.000
Ru 2.260 0.000 0.000
Ru 0.000 0.000 2.260
Cl 0.000 2.218 0.000
```

[7]
A plane-wave DFT calculation with PBE-GGA was carried out for a relaxed structure of NdDyCrN4.

Computed properties:
- formation energy without anion corrections (meV per atom) = -1101
- calculated total energy (eV per cell) = -120.01
- symmetry = P2_1/m, No. 11

```
14
Lattice="-3.641 -0.653 -4.176 -1.272 -5.005 1.892 -3.289 2.824 5.262" Properties=species:S:1:pos:R:3 pbc="T T T"
N -5.130 0.771 2.589
N -4.324 -2.435 2.642
N -3.072 -3.605 0.389
N -2.216 -4.286 3.081
N -1.593 -1.832 2.153
N -5.986 1.452 -0.103
N -3.878 -0.399 0.335
N -6.609 -1.002 0.824
Nd -6.661 -1.589 3.311
Nd -1.541 -1.245 -0.333
Dy -2.832 0.136 2.452
Dy -5.370 -2.969 0.525
Cr -5.353 0.208 0.948
Cr -2.849 -3.041 2.029
```

[8]
A plane-wave DFT calculation with PBE-GGA was carried out for a relaxed structure of Ga2CuAu.

Computed properties:
- ΔH_f (0 K) (meV per atom) = -46
- calculated total energy (eV per cell) = -13.61
- polymorph energy (0 for the lowest one) (eV/f.u.) = 0.20
- symmetry = R3m, No. 160

```
4
Lattice="-0.165 0.320 3.002 0.537 -2.366 1.804 8.106 1.303 1.829" Properties=species:S:1:pos:R:3 pbc="T T T"
Ga 1.987 -0.219 1.655
Ga 6.249 0.841 1.777
Au 4.217 -0.377 3.317
Cu 0.264 -1.360 3.205
```

[9]
A plane-wave DFT calculation with PBE-GGA was carried out for a relaxed structure of Ce3Zr3WN8.

Computed properties:
- formation energy without anion corrections (meV per atom) = -1364
- calculated total energy (eV per cell) = -143.46
- symmetry = R-3m, No. 166

```
15
Lattice="-3.377 -5.165 -2.170 5.371 1.970 -3.184 0.721 -3.025 6.077" Properties=species:S:1:pos:R:3 pbc="T T T"
N 2.113 -1.161 -0.523
N -0.524 -2.089 1.186
N 2.177 -2.428 2.390
N 0.537 -3.792 -1.668
N 3.239 -4.132 -0.464
N 5.040 -1.377 0.694
N 0.601 -5.059 1.245
N -2.325 -4.844 0.028
Zr 3.046 -0.528 1.446
Zr 1.357 -3.110 0.361
Zr -1.328 -4.095 1.953
W 0.360 -1.513 3.038
Ce 0.000 0.000 0.000
Ce 2.685 0.985 -1.592
Ce 0.997 -1.597 -2.677
```

[10]
A plane-wave DFT calculation with PBE-GGA was carried out for a relaxed structure of SrSi2P.

Computed properties:
- formation energy without anion corrections (meV per atom) = -194
- calculated total energy (eV per cell) = -18.71
- symmetry = Cm, No. 8

```
4
Lattice="-4.065 -0.680 -2.574 -1.293 -2.249 -4.109 -1.943 -4.935 1.536" Properties=species:S:1:pos:R:3 pbc="T T T"
Si -5.352 -2.936 -6.666
Si -5.574 -6.412 -3.512
P -1.728 -1.451 -1.639
Sr -3.655 -3.927 -2.587
```

[11]
A plane-wave DFT calculation with PBE-GGA was carried out for a relaxed structure of SbP2CS.

Computed properties:
- formation energy without anion corrections (meV per atom) = 1069
- calculated total energy (eV per cell) = -22.95
- polymorph energy (0 for the lowest one) (eV/f.u.) = 0.00
- symmetry = P4/mmm, No. 123

```
5
Lattice="4.123 0.000 0.000 0.000 4.123 0.000 0.000 0.000 4.498" Properties=species:S:1:pos:R:3 pbc="T T T"
Sb 2.062 2.062 2.249
P 0.000 2.062 0.000
P 2.062 0.000 0.000
S 0.000 0.000 2.249
C 0.000 0.000 0.000
```

[12]
A plane-wave DFT calculation with PBE-GGA was carried out for a relaxed structure of HfSnGe.

Computed properties:
- ΔH_f (0 K) (meV per atom) = 49
- calculated total energy (eV per cell) = -18.43
- symmetry = P3m1, No. 156

```
3
Lattice="-0.995 0.092 3.012 -3.964 -2.534 -1.232 4.034 -2.326 1.403" Properties=species:S:1:pos:R:3 pbc="T T T"
Hf -1.493 -2.446 0.236
Sn 0.693 -2.333 2.569
Ge -0.125 0.012 0.379
```